SrPu2N4: optimized geometry, PBE.

Lattice parameters (Å, degrees): 9.844 9.844 9.844 90.00 90.00 90.00
Space group Fd-3m (No. 227, origin choice 2)
Asymmetric unit:
Sr1 0.125 0.125 0.125 [8 per cell]
Pu1 0.000 0.000 0.500 [16 per cell]
N1 0.024 0.024 0.726 [32 per cell]

Calculated values
The magnetic moment is 0.857 μB/atom. As for the formation energy from raw total energies: -1.0178 eV per atom. Its calculated density is 8.8 g/cm³.